# Na4ZnAgSn2, optimized geometry, DFT PBE
# Crystal system = tetragonal
# Final energy = -2.309 eV/atom
data_Na4ZnAgSn2
_cell_length_a 5.017
_cell_length_b 5.017
_cell_length_c 7.127
_cell_angle_alpha 90.00
_cell_angle_beta 90.00
_cell_angle_gamma 90.00
_space_group_name_H-M_alt 'P -4 m 2'
_space_group_IT_number 115
loop_
_space_group_symop_operation_xyz
'x,y,z'
'y,-x,-z'
'-x,-y,z'
'-y,x,-z'
'-x,y,z'
'-y,-x,-z'
'x,-y,z'
'y,x,-z'
loop_
_atom_site_label
_atom_site_type_symbol
_atom_site_fract_x
_atom_site_fract_y
_atom_site_fract_z
_atom_site_occupancy
Na1 Na 0.000 0.000 0.000 1
Na2 Na 0.000 0.500 0.250 1
Na3 Na 0.500 0.500 0.500 1
Zn1 Zn 0.000 0.000 0.500 1
Ag1 Ag 0.500 0.500 0.000 1
Sn1 Sn 0.000 0.500 0.746 1

# Rb2GdTmO4, optimized geometry, DFT PBE
# Crystal system = trigonal
# Final energy = -6.554 eV/atom
data_Rb2GdTmO4
_cell_length_a 3.4628
_cell_length_b 3.4628
_cell_length_c 12.9227
_cell_angle_alpha 90.00
_cell_angle_beta 90.00
_cell_angle_gamma 120.00
_space_group_name_H-M_alt 'P -3 m 1'
_space_group_IT_number 164
_space_group_name_Hall '-P 3 2"'
loop_
_atom_site_label
_atom_site_type_symbol
_atom_site_fract_x
_atom_site_fract_y
_atom_site_fract_z
_atom_site_occupancy
Rb1 Rb 0.3333 0.6667 0.2486 1
Gd1 Gd 0.0000 0.0000 0.5000 1
Tm1 Tm 0.0000 0.0000 0.0000 1
O1 O 0.3333 0.6667 0.5922 1
O2 O 0.3333 0.6667 0.9136 1

# HfNbP2, optimized geometry, DFT PBE
# Crystal system = hexagonal
# ΔE to the lowest computed polymorph = 0 meV/atom
data_HfNbP2
_cell_length_a 3.6346
_cell_length_b 3.6346
_cell_length_c 12.0234
_cell_angle_alpha 90.00
_cell_angle_beta 90.00
_cell_angle_gamma 120.00
_space_group_name_H-M_alt 'P -6 m 2'
_space_group_IT_number 187
_space_group_name_Hall 'P -6 2'
loop_
_atom_site_label
_atom_site_type_symbol
_atom_site_fract_x
_atom_site_fract_y
_atom_site_fract_z
_atom_site_occupancy
Hf1 Hf 0.0000 0.0000 0.1390 1
Nb1 Nb 0.3333 0.6667 0.3670 1
P1 P 0.0000 0.0000 0.5000 1
P2 P 0.3333 0.6667 0.0000 1
P3 P 0.6667 0.3333 0.2564 1

# Dy3Mg3Cd2Hg, optimized geometry, DFT PBE
# Crystal system = hexagonal
# Final energy = -2.577 eV/atom
data_Dy3Mg3Cd2Hg
_cell_length_a 7.6840
_cell_length_b 7.6840
_cell_length_c 4.3913
_cell_angle_alpha 90.00
_cell_angle_beta 90.00
_cell_angle_gamma 120.00
_space_group_name_H-M_alt 'P -6 2 m'
_space_group_IT_number 189
_space_group_name_Hall 'P -6 -2'
loop_
_atom_site_label
_atom_site_type_symbol
_atom_site_fract_x
_atom_site_fract_y
_atom_site_fract_z
_atom_site_occupancy
Dy1 Dy 0.0000 0.5881 0.0000 1
Mg1 Mg 0.0000 0.2448 0.5000 1
Cd1 Cd 0.3333 0.6667 0.5000 1
Hg1 Hg 0.0000 0.0000 0.0000 1

Copy entry 4 word for word.
# Dy3Mg3Cd2Hg, optimized geometry, DFT PBE
# Crystal system = hexagonal
# Final energy = -2.577 eV/atom
data_Dy3Mg3Cd2Hg
_cell_length_a 7.6840
_cell_length_b 7.6840
_cell_length_c 4.3913
_cell_angle_alpha 90.00
_cell_angle_beta 90.00
_cell_angle_gamma 120.00
_space_group_name_H-M_alt 'P -6 2 m'
_space_group_IT_number 189
_space_group_name_Hall 'P -6 -2'
loop_
_atom_site_label
_atom_site_type_symbol
_atom_site_fract_x
_atom_site_fract_y
_atom_site_fract_z
_atom_site_occupancy
Dy1 Dy 0.0000 0.5881 0.0000 1
Mg1 Mg 0.0000 0.2448 0.5000 1
Cd1 Cd 0.3333 0.6667 0.5000 1
Hg1 Hg 0.0000 0.0000 0.0000 1